Here is a relaxed Na3VO4 crystal from the Alexandria database. Energies are from PBE+U.

Summary:
**Space group**: Pmn2_1 (31)
**VASP energy**: -5.850 eV per atom

Cell: 5.632 6.166 7.126 Å, 90.00 90.00 90.00°
Element x y z (fractional)
V: 0.500 0.677 0.500
Na: 0.991 0.825 0.245
O: 0.901 0.189 0.203
Na: 0.991 0.825 0.755
Na: 0.491 0.175 0.745
Na: 0.491 0.175 0.255
O: 0.401 0.811 0.297
V: 0.000 0.323 0.000
Na: 0.489 0.652 0.000
O: 0.401 0.811 0.703
O: 0.809 0.682 0.500
O: 0.901 0.189 0.797
O: 0.309 0.318 0.000
Na: 0.989 0.348 0.500
O: 0.403 0.407 0.500
O: 0.903 0.593 0.000